#A
Ce2Mg2Cd | PBE | optimized geometry

Properties
calculated density	5.8	Mg/m³

a = 8.0081 Å, b = 8.0081 Å, c = 3.1632 Å
α = 90.00°, β = 90.00°, γ = 141.64°
Closest atoms and distances in Å follow each position.
Atoms (fractional coordinates):
Ce  0.0907  0.9093  0.0000  1 Ce 2.74
Ce  0.9093  0.0907  0.0000  1 Ce 2.74
Mg  0.2989  0.7011  0.5000  4 Mg 3.02-3.16, 1 Cd 3.04
Mg  0.7011  0.2989  0.5000  4 Mg 3.02-3.16, 1 Cd 3.04
Cd  0.5000  0.5000  0.5000  2 Mg 3.04, 2 Cd 3.16, 8 Ce 3.36

=====

#B
Ce2Mg2Cd | PBE | optimized geometry

Properties
calculated density	5.7	Mg/m³

a = 6.6382 Å, b = 6.6382 Å, c = 7.8147 Å
α = 109.53°, β = 109.53°, γ = 53.35°
Closest atoms and distances in Å follow each position.
Atoms (fractional coordinates):
Ce  0.0452  0.8085  0.5662  2 Ce 2.72-2.74
Ce  0.1915  0.9548  0.9338  2 Ce 2.72-2.74
Ce  0.8085  0.0452  0.0662  2 Ce 2.72-2.74
Ce  0.9548  0.1915  0.4338  2 Ce 2.72-2.74
Mg  0.1778  0.4321  0.8518  2 Cd 3.09-3.11, 5 Ce 3.36-3.43, 3 Mg 3.39-3.40
Mg  0.4321  0.1778  0.3518  2 Cd 3.09-3.11, 5 Ce 3.36-3.43, 3 Mg 3.39-3.40
Mg  0.5679  0.8222  0.6482  2 Cd 3.09-3.11, 5 Ce 3.36-3.43, 3 Mg 3.39-3.40
Mg  0.8222  0.5679  0.1482  2 Cd 3.09-3.11, 5 Ce 3.36-3.43, 3 Mg 3.39-3.40
Cd  0.3808  0.6192  0.2500  4 Mg 3.09-3.11, 6 Ce 3.28-3.30
Cd  0.6192  0.3808  0.7500  4 Mg 3.09-3.11, 6 Ce 3.28-3.30

=====

Which of them is the most stable? Correct choice: #A.

=====

#A
CeMgCdPt | PBE | optimized geometry

Properties
calculated density	9.0	Mg/m³

a = 4.9838 Å, b = 4.9838 Å, c = 4.9838 Å
α = 60.00°, β = 60.00°, γ = 60.00°
Closest atoms and distances in Å follow each position.
Atoms (fractional coordinates):
Ce  0.0000  0.0000  0.0000  4 Cd 3.05, 4 Pt 3.05
Mg  0.5000  0.5000  0.5000  4 Pt 3.05, 4 Cd 3.05
Cd  0.2500  0.2500  0.2500  4 Ce 3.05, 4 Mg 3.05
Pt  0.7500  0.7500  0.7500  4 Mg 3.05, 4 Ce 3.05

=====

#B
CeMgCdPt | PBE | optimized geometry

Properties
calculated density	9.1	Mg/m³

a = 3.3618 Å, b = 3.3618 Å, c = 7.6603 Å
α = 90.00°, β = 90.00°, γ = 90.00°
Closest atoms and distances in Å follow each position.
Atoms (fractional coordinates):
Ce  0.0000  0.0000  0.0000  4 Pt 2.99, 1 Mg 3.32
Mg  0.0000  0.0000  0.4328  4 Pt 2.81, 4 Cd 3.03
Cd  0.5000  0.5000  0.6788  4 Mg 3.03, 4 Cd 3.36, 1 Pt 3.39
Pt  0.5000  0.5000  0.2360  4 Mg 2.81, 4 Ce 2.99

=====

Which of them is the most stable? Correct choice: #B.

=====

#A
CeMgCdSn | PBE | optimized geometry

Properties
calculated density	6.4	Mg/m³

a = 4.4602 Å, b = 4.6329 Å, c = 4.9384 Å
α = 90.00°, β = 90.00°, γ = 90.00°
Closest atoms and distances in Å follow each position.
Atoms (fractional coordinates):
Ce  0.0000  0.0000  0.0000  4 Sn 3.22, 4 Cd 3.33, 4 Mg 3.39
Mg  0.0000  0.5000  0.5000  4 Cd 3.22, 4 Sn 3.33, 4 Ce 3.39
Cd  0.5000  0.0000  0.5000  4 Mg 3.22, 4 Ce 3.33, 4 Sn 3.39
Sn  0.5000  0.5000  0.0000  4 Ce 3.22, 4 Mg 3.33, 4 Cd 3.39

=====

#B
CeMgCdSn | PBE | optimized geometry

Properties
calculated density	6.5	Mg/m³

a = 5.2308 Å, b = 5.2308 Å, c = 5.2308 Å
α = 60.00°, β = 60.00°, γ = 60.00°
Closest atoms and distances in Å follow each position.
Atoms (fractional coordinates):
Ce  0.0000  0.0000  0.0000  4 Cd 3.20, 4 Sn 3.20
Mg  0.5000  0.5000  0.5000  4 Cd 3.20, 4 Sn 3.20
Cd  0.2500  0.2500  0.2500  4 Ce 3.20, 4 Mg 3.20
Sn  0.7500  0.7500  0.7500  4 Ce 3.20, 4 Mg 3.20

=====

Which of them is the most stable? Correct choice: #A.

=====

#A
CeNdCd2 | PBE | optimized geometry

Properties
calculated density	7.6	Mg/m³

a = 7.7062 Å, b = 3.4968 Å, c = 8.2673 Å
α = 90.00°, β = 90.00°, γ = 90.00°
Closest atoms and distances in Å follow each position.
Atoms (fractional coordinates):
Ce  0.2500  0.0000  0.0273  8 Cd 3.32-3.39, 2 Ce 3.50, 1 Nd 3.65
Ce  0.7500  0.0000  0.9727  8 Cd 3.32-3.39, 2 Ce 3.50, 1 Nd 3.65
Nd  0.2500  0.0000  0.4692  8 Cd 3.31-3.36, 2 Nd 3.50, 1 Ce 3.65
Nd  0.7500  0.0000  0.5308  8 Cd 3.31-3.36, 2 Nd 3.50, 1 Ce 3.65
Cd  0.0403  0.5000  0.7477  3 Cd 3.23-3.50, 4 Nd 3.31-3.36, 4 Ce 3.32-3.39
Cd  0.4597  0.5000  0.7477  3 Cd 3.23-3.50, 4 Nd 3.31-3.36, 4 Ce 3.32-3.39
Cd  0.5403  0.5000  0.2523  3 Cd 3.23-3.50, 4 Nd 3.31-3.36, 4 Ce 3.32-3.39
Cd  0.9597  0.5000  0.2523  3 Cd 3.23-3.50, 4 Nd 3.31-3.36, 4 Ce 3.32-3.39

=====

#B
CeNdCd2 | PBE | optimized geometry

Properties
calculated density	7.8	Mg/m³

a = 4.8226 Å, b = 4.8226 Å, c = 4.6893 Å
α = 90.00°, β = 90.00°, γ = 90.00°
Closest atoms and distances in Å follow each position.
Atoms (fractional coordinates):
Ce  0.0000  0.0000  0.0000  8 Cd 3.36, 4 Nd 3.41
Nd  0.5000  0.5000  0.0000  8 Cd 3.36, 4 Ce 3.41
Cd  0.0000  0.5000  0.5000  4 Nd 3.36, 4 Ce 3.36, 4 Cd 3.41
Cd  0.5000  0.0000  0.5000  4 Nd 3.36, 4 Ce 3.36, 4 Cd 3.41

=====

Which of them is the most stable? Correct choice: #A.

=====

#A
CeNdCd | PBE | optimized geometry

Properties
calculated density	7.3	Mg/m³

a = 7.4662 Å, b = 7.4662 Å, c = 7.4662 Å
α = 152.32°, β = 152.32°, γ = 39.55°
Closest atoms and distances in Å follow each position.
Atoms (fractional coordinates):
Ce  0.0000  0.0000  0.0000  4 Cd 3.35, 4 Ce 3.57, 4 Nd 3.64
Nd  0.6869  0.6869  0.0000  4 Cd 3.35, 4 Nd 3.57, 4 Ce 3.64
Cd  0.3432  0.3432  0.0000  4 Nd 3.35, 4 Ce 3.35, 4 Cd 3.57

=====

#B
CeNdCd | PBE | optimized geometry

Properties
calculated density	7.8	Mg/m³

a = 5.3286 Å, b = 5.3286 Å, c = 3.4409 Å
α = 90.00°, β = 90.00°, γ = 120.00°
Closest atoms and distances in Å follow each position.
Atoms (fractional coordinates):
Ce  0.0000  0.0000  0.0000  3 Cd 3.29, 3 Nd 3.32, 2 Ce 3.44
Nd  0.3333  0.6667  0.3626  3 Cd 3.25, 3 Ce 3.32, 2 Nd 3.44
Cd  0.6667  0.3333  0.6652  3 Nd 3.25, 3 Ce 3.29, 2 Cd 3.44

=====

Which of them is the most stable? Correct choice: #A.

=====

#A
CeNdCdPb | PBE | optimized geometry

Properties
calculated density	8.5	Mg/m³

a = 5.4982 Å, b = 5.4982 Å, c = 5.4982 Å
α = 60.00°, β = 60.00°, γ = 60.00°
Closest atoms and distances in Å follow each position.
Atoms (fractional coordinates):
Ce  0.0000  0.0000  0.0000  4 Pb 3.37, 4 Cd 3.37
Nd  0.5000  0.5000  0.5000  4 Cd 3.37, 4 Pb 3.37
Cd  0.2500  0.2500  0.2500  4 Ce 3.37, 4 Nd 3.37
Pb  0.7500  0.7500  0.7500  4 Ce 3.37, 4 Nd 3.37

=====

#B
CeNdCdPb | PBE | optimized geometry

Properties
calculated density	8.7	Mg/m³

a = 5.7484 Å, b = 5.7484 Å, c = 5.7484 Å
α = 127.54°, β = 127.54°, γ = 77.38°
Closest atoms and distances in Å follow each position.
Atoms (fractional coordinates):
Ce  0.0000  0.0000  0.0000  4 Cd 3.39, 4 Pb 3.39, 4 Nd 3.59
Nd  0.5000  0.5000  0.0000  4 Cd 3.39, 4 Pb 3.39, 4 Ce 3.59
Cd  0.7500  0.2500  0.5000  4 Ce 3.39, 4 Nd 3.39, 4 Pb 3.59
Pb  0.2500  0.7500  0.5000  4 Ce 3.39, 4 Nd 3.39, 4 Cd 3.59

=====

Which of them is the most stable? Correct choice: #B.

=====

#A
CeCdNi2 | PBE | optimized geometry

Properties
calculated density	8.8	Mg/m³

a = 3.2627 Å, b = 3.2627 Å, c = 6.5881 Å
α = 90.00°, β = 90.00°, γ = 90.00°
Closest atoms and distances in Å follow each position.
Atoms (fractional coordinates):
Ce  0.0000  0.0000  0.0000  8 Ni 2.92, 4 Ce 3.26
Cd  0.0000  0.0000  0.5000  8 Ni 2.76
Ni  0.5000  0.5000  0.2714  4 Cd 2.76, 4 Ce 2.92, 1 Ni 3.01
Ni  0.5000  0.5000  0.7286  4 Cd 2.76, 4 Ce 2.92, 1 Ni 3.01

=====

#B
CeCdNi2 | PBE | optimized geometry

Properties
calculated density	8.3	Mg/m³

a = 4.8919 Å, b = 4.8919 Å, c = 4.8919 Å
α = 55.25°, β = 55.25°, γ = 55.25°
Closest atoms and distances in Å follow each position.
Atoms (fractional coordinates):
Ce  0.0000  0.0000  0.0000  2 Ni 2.62
Cd  0.5000  0.5000  0.5000  6 Ni 2.68
Ni  0.2118  0.2118  0.2118  1 Ce 2.62, 3 Cd 2.68, 3 Ni 2.85
Ni  0.7882  0.7882  0.7882  1 Ce 2.62, 3 Cd 2.68, 3 Ni 2.85

=====

Which of them is the most stable? Correct choice: #B.

=====

#A
Ce2NpCd | PBE | optimized geometry

Properties
calculated density	9.4	Mg/m³

a = 9.8887 Å, b = 9.8887 Å, c = 9.8887 Å
α = 21.28°, β = 21.28°, γ = 21.28°
Closest atoms and distances in Å follow each position.
Atoms (fractional coordinates):
Ce  0.1134  0.1134  0.1134  3 Np 2.61
Ce  0.8866  0.8866  0.8866  3 Np 2.61
Np  0.5000  0.5000  0.5000  6 Ce 2.61
Cd  0.0000  0.0000  0.0000  2 Ce 3.29, 6 Cd 3.65

=====

#B
Ce2NpCd | PBE | optimized geometry

Properties
calculated density	10.7	Mg/m³

a = 5.5403 Å, b = 5.5403 Å, c = 3.1948 Å
α = 90.00°, β = 90.00°, γ = 90.00°
Closest atoms and distances in Å follow each position.
Atoms (fractional coordinates):
Ce  0.0000  0.5000  0.0000  2 Ce 3.19, 4 Cd 3.20, 4 Np 3.20
Ce  0.5000  0.0000  0.0000  2 Ce 3.19, 4 Cd 3.20, 4 Np 3.20
Np  0.0000  0.0000  0.5000  2 Np 3.19, 8 Ce 3.20
Cd  0.5000  0.5000  0.5000  2 Cd 3.19, 8 Ce 3.20

=====

Which of them is the most stable? Correct choice: #B.